Model 1:
VASP calculation (PBEsol) on CaTcAs2 after structural relaxation.

## Properties
Space group   R3m, No. 160

```
CaTcAs2
1.0
3.983 0.000 0.000
1.991 3.449 0.000
1.991 1.150 5.887
Tc As Ca
1 2 1
direct
0.321 0.321 0.037 Tc
0.948 0.948 0.156 As
0.732 0.732 0.805 As
0.507 0.507 0.479 Ca
```

***

Model 2:
VASP calculation (PBEsol) on CaTcAs2 after structural relaxation.

## Properties
Space group   Fm-3m, No. 225

```
CaTcAs2
1.0
-4.365 -0.584 1.201
-2.193 -3.831 -1.161
-1.095 -3.062 3.203
Tc As Ca
1 2 1
direct
0.000 0.000 0.000 Tc
0.750 0.750 0.750 As
0.250 0.250 0.250 As
0.500 0.500 0.500 Ca
```

***

Energies relative to the most stable structure are model 1 0.000; model 2 0.127, reported in eV/atom.

***

Model 1:
VASP calculation (PBEsol) on TlTc2As after structural relaxation.

## Properties
Space group   C2/m, No. 12

```
TlTc2As
1.0
2.978 0.004 0.006
-1.373 4.995 -0.013
-1.373 -2.195 4.486
Tc As Tl
2 1 1
direct
0.000 0.000 0.500 Tc
0.000 0.500 0.000 Tc
0.500 0.500 0.500 As
0.500 0.000 0.000 Tl
```

***

Model 2:
VASP calculation (PBEsol) on TlTc2As after structural relaxation.

## Properties
Space group   Cmmm, No. 65

```
TlTc2As
1.0
-0.800 0.374 2.852
2.119 -2.022 -0.581
5.899 5.931 0.876
Tl As Tc
1 1 2
direct
0.500 0.500 0.500 Tl
0.500 0.500 0.000 As
0.000 0.000 0.219 Tc
0.000 0.000 0.781 Tc
```

***

Energies relative to the most stable structure are model 1 0.206; model 2 0.000, reported in eV/atom.

***

Model 1:
VASP calculation (PBEsol) on ZnAgCl2 after structural relaxation.

## Properties
Space group   P4/mmm, No. 123

```
ZnAgCl2
1.0
3.853 0.000 0.000
0.000 3.853 0.000
0.000 0.000 5.416
Zn Cl Ag
1 2 1
direct
0.000 0.000 0.375 Zn
0.500 0.500 0.375 Cl
0.000 0.000 0.875 Cl
0.500 0.500 0.875 Ag
```

***

Model 2:
VASP calculation (PBEsol) on ZnAgCl2 after structural relaxation.

## Properties
Space group   Pmmm, No. 47

```
ZnAgCl2
1.0
-3.175 -0.254 1.733
1.789 -1.039 3.125
0.449 5.812 1.676
Cl Ag Zn
2 1 1
direct
0.000 0.500 0.500 Cl
0.000 0.000 0.000 Cl
0.500 0.000 0.500 Ag
0.500 0.500 0.000 Zn
```

***

Energies relative to the most stable structure are model 1 0.000; model 2 0.065, reported in eV/atom.